(1)
{
  "formula": "PaSi2Tc2",
  "functional": "PBE",
  "state": "relaxed",
  "lattice": [[4.432, 0.000, 0.000], [0.000, 4.234, 0.000], [-0.170, 0.000, 9.029]],
  "species": ["Pa", "Pa", "Si", "Si", "Si", "Si", "Tc", "Tc", "Tc", "Tc"],
  "frac_coords": [[0.243, 0.250, 0.267], [0.757, 0.750, 0.733], [0.256, 0.250, 0.633], [0.339, 0.750, 0.996], [0.661, 0.250, 0.004], [0.744, 0.750, 0.367], [0.149, 0.250, 0.895], [0.249, 0.750, 0.493], [0.751, 0.250, 0.507], [0.851, 0.750, 0.105]],
  "spacegroup": "No. 11",
  "crystal_system": "monoclinic",
  "raw_formation_energy_mev_per_atom": -589
}

---

(2)
{
  "formula": "TbNd2SmAs4",
  "functional": "PBE",
  "state": "relaxed",
  "lattice": [[7.316, 0.000, 0.000], [0.000, 4.228, 0.000], [-2.438, 0.000, 6.899]],
  "species": ["Tb", "Nd", "Nd", "Sm", "As", "As", "As", "As"],
  "frac_coords": [[0.000, 0.000, 0.000], [0.500, 0.000, 0.500], [0.500, 0.500, 0.000], [0.000, 0.500, 0.500], [0.244, 0.500, 0.246], [0.245, 0.000, 0.750], [0.755, 0.000, 0.250], [0.756, 0.500, 0.754]],
  "spacegroup": "No. 10",
  "crystal_system": "monoclinic",
  "formation_energy_mev_per_atom": -1521
}

---

We obtain E values of -8.803; -6.206 eV/atom for the records listed above, in that order.
We obtain volume values of 169.4; 213.4 Å³/cell for the records listed above, in that order.